{
  "formula": "ScIn4S6",
  "functional": "PBE",
  "state": "relaxed",
  "formation_energy_uncorrected_ev_per_atom": -0.69,
  "lattice": [[7.532, 0.000, 2.274], [3.366, 6.365, 2.460], [0.090, 0.600, 13.310]],
  "species": ["S", "S", "S", "In", "S", "In", "S", "In", "S", "S", "Sc", "S", "S", "S", "In", "In", "In", "S", "Sc", "S", "In", "In"],
  "frac_coords": [[0.551, 0.085, 0.934], [0.626, 0.633, 0.781], [0.960, 0.133, 0.281], [0.838, 0.179, 0.811], [0.913, 0.572, 0.480], [0.031, 0.524, 0.183], [0.878, 0.030, 0.603], [0.262, 0.024, 0.683], [0.411, 0.109, 0.470], [0.671, 0.885, 0.203], [0.204, 0.295, 0.901], [0.430, 0.585, 0.434], [0.011, 0.609, 0.970], [0.034, 0.072, 0.980], [0.686, 0.204, 0.448], [0.173, 0.679, 0.311], [0.914, 0.671, 0.640], [0.489, 0.530, 0.103], [0.601, 0.795, 0.401], [0.240, 0.385, 0.703], [0.774, 0.171, 0.140], [0.662, 0.704, 0.948]]
}